[1]
Here is crystalline Ce5Bi2SbC at its relaxed geometry from the Alexandria database. Energies are from PBE-GGA.

a = 4.805 Å, b = 4.805 Å, c = 11.612 Å
α = 90.00°, β = 90.00°, γ = 90.00°
Site moments in Bohr magnetons follow the coordinates.
Sites, in units of the cell vectors:
Ce  0.000  0.500  0.500  0.40
Ce  0.000  0.000  0.272  0.82
Ce  0.000  0.000  0.728  0.82
Ce  0.500  0.000  0.500  0.40
Ce  0.500  0.500  0.000  1.03
Bi  0.500  0.500  0.711  -0.03
Bi  0.500  0.500  0.289  -0.03
Sb  0.000  0.000  0.000  -0.04
C  0.000  0.000  0.500  -0.04

Calculated values
Space group = P4/mmm, No. 123
ΔE_f (raw) = -0.625 eV/atom


[2]
Here is crystalline Li3Ac3CrS8 at its relaxed geometry from the Alexandria database. Energies are from PBE-GGA.

a = 8.311 Å, b = 8.309 Å, c = 7.739 Å
α = 122.49°, β = 90.00°, γ = 120.00°
Site moments in Bohr magnetons follow the coordinates.
Sites, in units of the cell vectors:
S  0.782  0.982  0.264  -0.06
S  0.242  0.485  0.227  -0.03
S  0.800  0.018  0.736  -0.06
S  0.758  0.515  0.773  -0.03
S  0.200  0.982  0.264  -0.06
S  0.782  0.563  0.263  -0.06
S  0.218  0.018  0.736  -0.06
S  0.218  0.437  0.737  -0.06
Li  0.000  0.500  0.000  0.00
Li  0.000  0.000  0.000  0.00
Li  0.500  0.500  0.000  0.00
Ac  0.500  0.500  0.500  0.00
Ac  0.500  0.000  0.500  0.00
Ac  0.000  0.500  0.500  0.00
Cr  0.000  0.000  0.500  2.37

Calculated values
Space group = R-3m, No. 166
ΔE_f (raw) = -1.457 eV/atom


[3]
Here is crystalline ReTeBr2 at its relaxed geometry from the Alexandria database. Energies are from PBE-GGA.

a = 5.551 Å, b = 5.551 Å, c = 5.551 Å
α = 130.59°, β = 130.59°, γ = 72.47°
Site moments in Bohr magnetons follow the coordinates.
Sites, in units of the cell vectors:
Re  0.250  0.750  0.500  3.25
Br  0.000  0.000  0.000  -0.01
Br  0.500  0.500  0.000  -0.01
Te  0.750  0.250  0.500  -0.39

Calculated values
Space group = I4/mmm, No. 139
E above lowest polymorph = 1196 meV per atom
ΔE_f (raw) = 1.346 eV/atom


[4]
Here is crystalline SrLiCeSe3 at its relaxed geometry from the Alexandria database. Energies are from PBE-GGA.

a = 4.243 Å, b = 8.843 Å, c = 9.095 Å
α = 101.58°, β = 90.00°, γ = 90.00°
Site moments in Bohr magnetons follow the coordinates.
Sites, in units of the cell vectors:
Ce  0.250  0.666  0.170  0.94
Ce  0.750  0.334  0.830  0.94
Se  0.250  0.107  0.866  -0.01
Se  0.750  0.893  0.134  -0.01
Se  0.750  0.429  0.166  -0.02
Se  0.250  0.793  0.496  -0.01
Se  0.250  0.571  0.834  -0.02
Se  0.750  0.207  0.504  -0.01
Sr  0.750  0.822  0.771  0.00
Sr  0.250  0.178  0.229  0.00
Li  0.250  0.084  0.585  0.00
Li  0.750  0.916  0.415  0.00

Calculated values
Space group = P2_1/m, No. 11
ΔE_f (raw) = -1.732 eV/atom


Calculated values (g/cm3) of density for the records, taken in order: 7.76, 4.62, 8.16, 4.68.
Calculated values (states/eV/cell) of DOS(E_F) for the records, taken in order: 26.4, 8.6, 3.0, 12.4.